Tl3CdAs: optimized geometry, PBE.

Computed properties:
Offset from the most stable computed form   0.1859 eV/atom
E_form   512 meV per atom

```
data_Tl3CdAs
_chemical_formula_sum 'Tl3 Cd1 As1'
_cell_length_a 5.586
_cell_length_b 5.586
_cell_length_c 5.586
_cell_angle_alpha 90.00
_cell_angle_beta 90.00
_cell_angle_gamma 90.00
_symmetry_space_group_name_H-M 'P m -3 m'
_symmetry_Int_Tables_number 221
_symmetry_space_group_name_Hall '-P 4 2 3'
loop_
_atom_site_label
_atom_site_fract_x
_atom_site_fract_y
_atom_site_fract_z
Tl1 0.000 0.000 0.500
Cd1 0.000 0.000 0.000
As1 0.500 0.500 0.500
```